[1]
## SiAg2CBr (PBE)

Data for a relaxed structure of SiAg2CBr.

Size of the total moment in μB per formula unit: 0.000
SG: No. 123
Formation energy without anion corrections in meV/atom: 1947.3

Unit cell a=5.404 b=3.827 c=5.404 alpha=90.00 beta=90.00 gamma=90.00
Fractional coordinates of all 5 atoms:
1 Ag 0.000 0.000 0.500
2 Ag 0.500 0.000 0.000
3 Br 0.000 0.000 0.000
4 C 0.000 0.500 0.000
5 Si 0.500 0.500 0.500


[2]
## AgSnH (PBE)

Data for a relaxed structure of AgSnH.

Size of the total moment in μB per formula unit: 0.000
SG: No. 1
Energy above the lowest structure with this stoichiometry in eV per atom: 0.011

Unit cell a=5.063 b=5.229 c=5.056 alpha=92.08 beta=60.44 gamma=92.87
Fractional coordinates of all 6 atoms:
1 H 0.547 0.984 0.133
2 H 0.739 0.479 0.183
3 Sn 0.163 0.505 0.751
4 Sn 0.384 0.026 0.890
5 Ag 0.894 0.317 0.416
6 Ag 0.762 0.816 0.300


[3]
## KTlCuBr3 (PBE)

Data for a relaxed structure of KTlCuBr3.

Size of the total moment in μB per formula unit: 0.000
SG: No. 11
Formation energy without anion corrections in meV/atom: -937.8

Unit cell a=4.315 b=10.085 c=9.729 alpha=98.65 beta=90.00 gamma=90.00
Fractional coordinates of all 12 atoms:
1 K 0.250 0.645 0.175
2 K 0.750 0.355 0.825
3 Br 0.250 0.107 0.833
4 Br 0.250 0.599 0.834
5 Br 0.750 0.180 0.503
6 Br 0.750 0.401 0.166
7 Br 0.250 0.820 0.497
8 Br 0.750 0.893 0.167
9 Tl 0.750 0.833 0.807
10 Tl 0.250 0.167 0.193
11 Cu 0.250 0.064 0.574
12 Cu 0.750 0.936 0.426


[4]
## LiPaSeS (PBE)

Data for a relaxed structure of LiPaSeS.

Size of the total moment in μB per formula unit: 0.001
SG: No. 166
Formation energy without anion corrections in meV/atom: -1265.8

Unit cell a=3.903 b=3.903 c=14.137 alpha=82.06 beta=82.06 gamma=60.00
Fractional coordinates of all 8 atoms:
1 Se 0.789 0.789 0.632
2 Se 0.211 0.211 0.368
3 Pa 0.082 0.082 0.754
4 Pa 0.918 0.918 0.246
5 S 0.627 0.627 0.120
6 S 0.373 0.373 0.880
7 Li 0.688 0.688 0.936
8 Li 0.312 0.312 0.064


[5]
## BaZr2Fe (PBE)

Data for a relaxed structure of BaZr2Fe.

Size of the total moment in μB per formula unit: 3.338
SG: No. 119
Energy above the lowest structure with this stoichiometry in eV per atom: 0.594
Energy relative to the elements in eV/atom: 0.847

Unit cell a=5.514 b=5.514 c=5.514 alpha=129.39 beta=129.39 gamma=74.39
Last column: magnetic moment on the atom in μB.
Fractional coordinates of all 4 atoms:
1 Fe 0.750 0.250 0.500  2.93
2 Zr 0.250 0.750 0.500  0.24
3 Zr 0.000 0.000 0.000  -0.01
4 Ba 0.500 0.500 0.000  0.03


[6]
## Ce2AgCl8 (PBE)

Data for a relaxed structure of Ce2AgCl8.

Size of the total moment in μB per formula unit: 1.038
SG: No. 12
Energy above the lowest structure with this stoichiometry in eV per atom: 0.062
Formation energy without anion corrections in meV/atom: -1703.4

Unit cell a=5.400 b=8.332 c=8.332 alpha=60.84 beta=85.25 gamma=85.25
Last column: magnetic moment on the atom in μB.
Fractional coordinates of all 11 atoms:
1 Ce 0.083 0.284 0.284  0.55
2 Ce 0.917 0.716 0.716  0.55
3 Cl 0.882 0.081 0.654  -0.01
4 Cl 0.118 0.346 0.919  -0.01
5 Cl 0.278 0.435 0.435  -0.02
6 Cl 0.882 0.654 0.081  -0.01
7 Cl 0.118 0.919 0.346  -0.01
8 Cl 0.406 0.777 0.777  -0.01
9 Cl 0.722 0.565 0.565  -0.02
10 Cl 0.594 0.223 0.223  -0.01
11 Ag 0.000 0.000 0.000  0.00


[7]
## Tb6SmY2Mg (PBE)

Data for a relaxed structure of Tb6SmY2Mg.

Size of the total moment in μB per formula unit: 0.009
SG: No. 15
Energy relative to the elements in eV/atom: 0.110

Unit cell a=6.645 b=10.917 c=10.917 alpha=125.24 beta=85.54 gamma=85.54
Fractional coordinates of all 20 atoms:
1 Y 0.992 0.348 0.182
2 Y 0.008 0.652 0.818
3 Y 0.508 0.818 0.652
4 Y 0.492 0.182 0.348
5 Tb 0.975 0.301 0.475
6 Tb 0.281 0.917 0.433
7 Tb 0.535 0.791 0.081
8 Tb 0.781 0.433 0.917
9 Tb 0.475 0.475 0.301
10 Tb 0.965 0.919 0.209
11 Tb 0.719 0.083 0.567
12 Tb 0.035 0.081 0.791
13 Tb 0.525 0.525 0.699
14 Tb 0.025 0.699 0.525
15 Tb 0.465 0.209 0.919
16 Tb 0.219 0.567 0.083
17 Sm 0.750 0.009 0.991
18 Sm 0.250 0.991 0.009
19 Mg 0.250 0.294 0.706
20 Mg 0.750 0.706 0.294


[8]
## LaB2P2 (PBE)

Data for a relaxed structure of LaB2P2.

Size of the total moment in μB per formula unit: 0.000
SG: No. 127
Energy above the lowest structure with this stoichiometry in eV per atom: 0.104
Energy relative to the elements in eV/atom: 0.213

Unit cell a=6.627 b=6.627 c=3.642 alpha=90.00 beta=90.00 gamma=90.00
Fractional coordinates of all 10 atoms:
1 P 0.620 0.880 0.500
2 P 0.120 0.620 0.500
3 P 0.880 0.380 0.500
4 P 0.380 0.120 0.500
5 La 0.000 0.000 0.000
6 La 0.500 0.500 0.000
7 B 0.411 0.911 0.000
8 B 0.911 0.589 0.000
9 B 0.089 0.411 0.000
10 B 0.589 0.089 0.000